1.
Material: CaIn2Pb
Method: DFT, GGA-PBEsol
State: optimized geometry

Summary:
volume: 26.35 Å³ per atom
density: 7.5 g cm⁻³
calculated total energy: -26.75 eV per cell
ΔE_f: -0.319 eV/atom

Cell: 4.625 4.625 9.854 Å, 90.00 90.00 90.00°
Space group I-4m2 (No. 119)
One atom of each set of equivalent atoms:
Ca1 0.000 0.000 0.000 [2 per cell]
In1 0.000 0.000 0.500 [2 per cell]
In2 0.000 0.500 0.250 [2 per cell]
Pb1 0.000 0.500 0.750 [2 per cell]

2.
Material: CaCuIr2
Method: DFT, GGA-PBEsol
State: optimized geometry

Summary:
volume: 15.32 Å³ per atom
density: 13.2 g cm⁻³
calculated total energy: -25.65 eV per cell
ΔE_f: 0.115 eV/atom

Cell: 2.857 4.579 4.685 Å, 90.00 90.00 90.00°
Space group Pmmm (No. 47)
One atom of each set of equivalent atoms:
Ca1 0.000 0.000 0.000 [1 per cell]
Cu1 0.500 0.000 0.500 [1 per cell]
Ir1 0.000 0.500 0.500 [1 per cell]
Ir2 0.500 0.500 0.000 [1 per cell]

3.
Material: LaZr2TlI
Method: DFT, GGA-PBEsol
State: optimized geometry

Summary:
volume: 32.25 Å³ per atom
density: 6.7 g cm⁻³
calculated total energy: -25.07 eV per cell
formation energy from raw total energies: 0.57 eV/atom

Cell: 5.226 5.226 5.903 Å, 90.00 90.00 90.00°
Space group P4/mmm (No. 123)
One atom of each set of equivalent atoms:
La1 0.000 0.000 0.000 [1 per cell]
Zr1 0.000 0.500 0.500 [2 per cell]
Tl1 0.500 0.500 0.000 [1 per cell]
I1 0.500 0.500 0.500 [1 per cell]

4.
Material: BeRuPt2
Method: DFT, GGA-PBEsol
State: optimized geometry

Summary:
volume: 13.14 Å³ per atom
density: 15.8 g cm⁻³
calculated total energy: -28.61 eV per cell
ΔE_f: -0.127 eV/atom

Cell: 2.698 3.831 5.183 Å, 90.00 101.15 90.00°
Space group P2/m (No. 10)
One atom of each set of equivalent atoms:
Be1 0.000 0.000 0.000 [1 per cell]
Ru1 0.000 0.000 0.500 [1 per cell]
Pt1 0.396 0.500 0.238 [2 per cell]